No. 1
Entry from the Alexandria database: a relaxed structure of PmGaCu11 (PBE).

Computed properties:
* ρ: 8.45 Mg/m³
* E_tot: -0.3071 Ry/atom
* symmetry: C2/m (12)
* total moment: 0.00 μB per formula unit
* E_form: -11 kJ per mole of atoms

Lattice parameters (Å, degrees): 4.865 6.584 6.474 82.29 67.93 69.07
Fractional positions:
Cu  0.656  0.352  0.360
Cu  0.344  0.648  0.640
Cu  0.000  0.500  0.000
Cu  0.505  0.223  0.774
Cu  0.279  0.223  0.226
Cu  0.983  0.648  0.360
Ga  0.500  0.500  0.000
Cu  0.500  0.000  0.500
Cu  0.017  0.352  0.640
Cu  0.721  0.777  0.774
Cu  0.000  0.000  0.500
Pm  0.000  0.000  0.000
Cu  0.495  0.777  0.226

No. 2
Entry from the Alexandria database: a relaxed structure of PmGa4Cu2 (PBE).

Computed properties:
* ρ: 7.56 Mg/m³
* energy above the lowest structure with this stoichiometry: 0.0 meV/atom
* E_tot: -0.2906 Ry/atom
* symmetry: Pnma (62)
* total moment: 0.00 μB per formula unit
* E_form: -36 kJ per mole of atoms

Lattice parameters (Å, degrees): 4.335 6.560 17.028 90.00 90.00 90.00
Fractional positions:
Ga  0.250  0.494  0.425
Cu  0.250  0.982  0.780
Ga  0.750  0.789  0.808
Ga  0.250  0.686  0.684
Ga  0.750  0.711  0.308
Ga  0.250  0.315  0.034
Pm  0.750  0.504  0.136
Ga  0.250  0.289  0.692
Ga  0.750  0.506  0.575
Ga  0.750  0.186  0.816
Pm  0.250  0.004  0.364
Cu  0.750  0.254  0.964
Pm  0.250  0.496  0.864
Ga  0.250  0.814  0.184
Ga  0.750  0.994  0.075
Ga  0.250  0.185  0.534
Cu  0.750  0.018  0.220
Ga  0.250  0.211  0.192
Cu  0.250  0.754  0.536
Cu  0.250  0.518  0.280
Pm  0.750  0.996  0.636
Cu  0.250  0.746  0.036
Cu  0.750  0.482  0.720
Cu  0.750  0.246  0.464
Ga  0.750  0.314  0.316
Ga  0.750  0.815  0.466
Ga  0.250  0.006  0.925
Ga  0.750  0.685  0.966

No. 3
Entry from the Alexandria database: a relaxed structure of Pm2Ga2Cu15 (PBE).

Computed properties:
* ρ: 8.35 Mg/m³
* E_tot: -0.3085 Ry/atom
* symmetry: R-3m (166)
* total moment: 0.00 μB per formula unit
* E_form: -14 kJ per mole of atoms

Lattice parameters (Å, degrees): 6.551 6.551 6.551 82.87 82.87 82.87
Fractional positions:
Cu  0.847  0.347  0.347
Cu  0.000  0.701  0.299
Cu  0.701  0.000  0.299
Cu  0.000  0.000  0.500
Cu  0.701  0.299  0.000
Ga  0.897  0.897  0.897
Cu  0.299  0.701  0.000
Cu  0.653  0.153  0.653
Cu  0.653  0.653  0.153
Pm  0.348  0.348  0.348
Cu  0.347  0.847  0.347
Cu  0.347  0.347  0.847
Ga  0.103  0.103  0.103
Cu  0.153  0.653  0.653
Cu  0.299  0.000  0.701
Cu  0.000  0.500  0.000
Cu  0.500  0.000  0.000
Pm  0.652  0.652  0.652
Cu  0.000  0.299  0.701

No. 4
Entry from the Alexandria database: a relaxed structure of Pm3Ga4Cu4 (PBE).

Computed properties:
* ρ: 7.39 Mg/m³
* energy above the lowest structure with this stoichiometry: 0.0 meV/atom
* E_tot: -0.3187 Ry/atom
* symmetry: Immm (71)
* total moment: 0.00 μB per formula unit
* E_form: -43 kJ per mole of atoms

Lattice parameters (Å, degrees): 4.284 4.067 12.833 99.12 99.61 90.00
Fractional positions:
Cu  0.251  0.251  0.503
Ga  0.448  0.448  0.897
Cu  0.902  0.402  0.803
Ga  0.552  0.552  0.103
Pm  0.349  0.849  0.697
Cu  0.749  0.749  0.497
Ga  0.803  0.303  0.607
Pm  0.651  0.151  0.303
Ga  0.197  0.697  0.393
Cu  0.098  0.598  0.197
Pm  0.000  0.000  0.000